Entry 1:
# KSiMo2 GGA-PBE relaxed
# ΔE_f (raw) ... 0.5567 eV per atom
# Mass density ... 4868 kg/m3
# Total moment ... 0.00 μB/cell
data_KSiMo2
_chemical_formula_sum 'K1 Si1 Mo2'
_cell_length_a 3.345
_cell_length_b 3.345
_cell_length_c 7.900
_cell_angle_alpha 90.00
_cell_angle_beta 90.00
_cell_angle_gamma 90.00
_symmetry_space_group_name_H-M 'P 4/m m m'
_symmetry_Int_Tables_number 123
_symmetry_space_group_name_Hall '-P 4 2'
loop_
_atom_site_label
_atom_site_type_symbol
_atom_site_fract_x
_atom_site_fract_y
_atom_site_fract_z
_atom_site_occupancy
K1 K 0.000 0.000 0.000 1
Si1 Si 0.000 0.000 0.500 1
Mo1 Mo 0.500 0.500 0.357 1

Entry 2:
# SrNiSb3 GGA-PBE relaxed
# ΔE_f (raw) ... -0.4182 eV per atom
# Mass density ... 6514 kg/m3
# Total moment ... 0.00 μB/cell
data_SrNiSb3
_chemical_formula_sum 'Sr2 Ni2 Sb6'
_cell_length_a 6.285
_cell_length_b 6.191
_cell_length_c 6.704
_cell_angle_alpha 90.00
_cell_angle_beta 90.04
_cell_angle_gamma 90.00
_symmetry_space_group_name_H-M 'P 1 21 1'
_symmetry_Int_Tables_number 4
_symmetry_space_group_name_Hall 'P 2yb'
loop_
_atom_site_label
_atom_site_type_symbol
_atom_site_fract_x
_atom_site_fract_y
_atom_site_fract_z
_atom_site_occupancy
Sr1 Sr 0.143 0.000 0.250 1
Ni1 Ni 0.396 0.240 0.750 1
Sb1 Sb 0.111 0.958 0.750 1
Sb2 Sb 0.344 0.541 0.010 1
Sb3 Sb 0.344 0.541 0.491 1

Entry 3:
# AsPd3O GGA-PBE relaxed
# ΔE_f (raw) ... 0.0663 eV per atom
# Mass density ... 8838 kg/m3
# Total moment ... 0.00 μB/cell
data_AsPd3O
_chemical_formula_sum 'As1 Pd3 O1'
_cell_length_a 4.256
_cell_length_b 4.256
_cell_length_c 4.256
_cell_angle_alpha 90.00
_cell_angle_beta 90.00
_cell_angle_gamma 90.00
_symmetry_space_group_name_H-M 'P m -3 m'
_symmetry_Int_Tables_number 221
_symmetry_space_group_name_Hall '-P 4 2 3'
loop_
_atom_site_label
_atom_site_type_symbol
_atom_site_fract_x
_atom_site_fract_y
_atom_site_fract_z
_atom_site_occupancy
As1 As 0.000 0.000 0.000 1
Pd1 Pd 0.000 0.500 0.500 1
O1 O 0.500 0.500 0.500 1

Entry 4:
# ErSi3Rh3 GGA-PBE relaxed
# ΔE_f (raw) ... -0.6917 eV per atom
# Mass density ... 7347 kg/m3
# Total moment ... 0.00 μB/cell
data_ErSi3Rh3
_chemical_formula_sum 'Er6 Si18 Rh18'
_cell_length_a 6.7133
_cell_length_b 6.7133
_cell_length_c 19.4659
_cell_angle_alpha 90.00
_cell_angle_beta 90.00
_cell_angle_gamma 120.00
_symmetry_space_group_name_H-M 'R -3'
_symmetry_Int_Tables_number 148
_symmetry_space_group_name_Hall '-R 3'
loop_
_atom_site_label
_atom_site_type_symbol
_atom_site_fract_x
_atom_site_fract_y
_atom_site_fract_z
_atom_site_occupancy
Er1 Er 0.0000 0.0000 0.1673 1
Si1 Si 0.0188 0.2894 0.5914 1
Rh1 Rh 0.0235 0.3818 0.3830 1

Entry 5:
# MnIn2P GGA-PBE relaxed
# ΔH_f (0 K) ... 0.12 eV per atom
# Mass density ... 6647 kg/m3
# Total moment ... 4.84 μB/cell
data_MnIn2P
_chemical_formula_sum 'Mn2 In4 P2'
_cell_length_a 10.528
_cell_length_b 3.097
_cell_length_c 5.138
_cell_angle_alpha 90.00
_cell_angle_beta 109.79
_cell_angle_gamma 90.00
_symmetry_space_group_name_H-M 'C 1 m 1'
_symmetry_Int_Tables_number 8
_symmetry_space_group_name_Hall 'C -2y'
loop_
_atom_site_label
_atom_site_type_symbol
_atom_site_fract_x
_atom_site_fract_y
_atom_site_fract_z
_atom_site_occupancy
Mn1 Mn 0.000 0.000 0.000 1
In1 In 0.250 0.000 0.859 1
In2 In 0.454 0.000 0.500 1
P1 P 0.150 0.500 0.250 1

Entry 6:
# ReSBr2 GGA-PBE relaxed
# ΔE_f (raw) ... 1.4214 eV per atom
# Mass density ... 8701 kg/m3
# Total moment ... 3.92 μB/cell
data_ReSBr2
_chemical_formula_sum 'Re4 S4 Br8'
_cell_length_a 6.609
_cell_length_b 6.609
_cell_length_c 6.609
_cell_angle_alpha 90.00
_cell_angle_beta 90.00
_cell_angle_gamma 90.00
_symmetry_space_group_name_H-M 'F m -3 m'
_symmetry_Int_Tables_number 225
_symmetry_space_group_name_Hall '-F 4 2 3'
loop_
_atom_site_label
_atom_site_type_symbol
_atom_site_fract_x
_atom_site_fract_y
_atom_site_fract_z
_atom_site_occupancy
Re1 Re 0.000 0.000 0.000 1
S1 S 0.000 0.000 0.500 1
Br1 Br 0.250 0.250 0.250 1